No. 1
Entry from Alexandria via LeMat-Bulk: crystalline Tm7Te2C2 at its relaxed geometry (GGA-PBE).

Geometry as POSCAR:
```
Tm7Te2C2
1.0
7.584 0.123 0.177
-0.668 6.747 -0.125
-0.668 -2.487 6.273
Te Tm C
2 7 2
direct
0.500 0.316 0.684
0.500 0.684 0.316
0.817 0.587 0.587
0.000 0.000 0.000
0.795 0.070 0.460
0.183 0.413 0.413
0.795 0.460 0.070
0.205 0.930 0.540
0.205 0.540 0.930
0.120 0.716 0.716
0.880 0.284 0.284
```

Computed properties:
- symmetry = C2/m (12)
- uncorrected formation energy (eV/atom) = -0.3664


No. 2
Entry from Alexandria via LeMat-Bulk: crystalline Tm4TeC at its relaxed geometry (GGA-PBE).

Geometry as POSCAR:
```
Tm4TeC
1.0
-4.736 -1.015 -0.251
4.190 -8.707 3.002
-1.738 6.658 5.894
Te Tm C
2 8 2
direct
0.843 0.686 0.727
0.157 0.314 0.273
0.977 0.954 0.648
0.182 0.365 0.970
0.395 0.789 0.335
0.818 0.635 0.030
0.765 0.531 0.325
0.235 0.469 0.675
0.605 0.211 0.665
0.023 0.046 0.352
0.107 0.215 0.653
0.893 0.785 0.347
```

Computed properties:
- symmetry = C2/m (12)
- uncorrected formation energy (eV/atom) = -0.3354
- relative energy among the computed polymorphs (eV per formula unit) = 0.82


No. 3
Entry from Alexandria via LeMat-Bulk: crystalline Tm4Te3C at its relaxed geometry (GGA-PBE).

Geometry as POSCAR:
```
Tm4Te3C
1.0
5.868 0.000 0.000
0.000 7.842 0.000
0.000 0.000 10.194
Tm C Te
8 2 6
direct
0.606 0.134 0.000
0.065 0.236 0.205
0.065 0.236 0.795
0.576 0.145 0.500
0.106 0.866 0.500
0.565 0.764 0.705
0.565 0.764 0.295
0.076 0.855 0.000
0.000 0.137 0.000
0.500 0.863 0.500
0.064 0.650 0.740
0.564 0.350 0.240
0.073 0.251 0.500
0.064 0.650 0.260
0.564 0.350 0.760
0.573 0.749 0.000
```

Computed properties:
- symmetry = Pmn2_1 (31)
- uncorrected formation energy (eV/atom) = -0.8663
- relative energy among the computed polymorphs (eV per formula unit) = 1.32


No. 4
Entry from Alexandria via LeMat-Bulk: crystalline Tm6Te5C at its relaxed geometry (GGA-PBE).

Geometry as POSCAR:
```
Tm6Te5C
1.0
-0.128 1.660 6.989
4.322 -4.660 3.697
7.068 1.560 1.015
Tm Te C
6 5 1
direct
0.224 0.200 0.000
0.776 0.800 0.000
0.791 0.068 0.277
0.791 0.345 0.723
0.209 0.655 0.277
0.209 0.932 0.723
0.500 0.500 0.000
0.000 0.336 0.327
0.500 0.181 0.638
0.000 0.664 0.673
0.500 0.819 0.362
0.000 0.000 0.000
```

Computed properties:
- symmetry = C2/m (12)
- uncorrected formation energy (eV/atom) = -1.1265


No. 5
Entry from Alexandria via LeMat-Bulk: crystalline Tm2TeC at its relaxed geometry (GGA-PBE).

Geometry as POSCAR:
```
Tm2TeC
1.0
3.772 0.000 0.000
0.000 7.209 0.000
0.000 0.000 6.479
Tm Te C
4 2 2
direct
0.500 0.316 0.761
0.000 0.684 0.261
0.500 0.316 0.239
0.000 0.684 0.739
0.500 0.929 0.000
0.000 0.071 0.500
0.000 0.439 0.000
0.500 0.561 0.500
```

Computed properties:
- symmetry = Pmmn (59)
- uncorrected formation energy (eV/atom) = -0.7074


No. 6
Entry from Alexandria via LeMat-Bulk: crystalline Y2Tm2Te2C at its relaxed geometry (GGA-PBE).

Geometry as POSCAR:
```
Y2Tm2Te2C
1.0
-2.350 -3.058 -0.434
3.802 -5.780 2.802
-0.819 -0.303 6.544
Tm C Te Y
2 1 2 2
direct
0.178 0.643 0.142
0.822 0.357 0.858
0.000 0.000 0.000
0.854 0.293 0.390
0.146 0.707 0.610
0.507 0.987 0.766
0.493 0.013 0.234
```

Computed properties:
- symmetry = C2/m (12)
- uncorrected formation energy (eV/atom) = -0.8554


No. 7
Entry from Alexandria via LeMat-Bulk: crystalline YTmTeC at its relaxed geometry (GGA-PBE).

Geometry as POSCAR:
```
YTmTeC
1.0
-2.647 -1.680 2.158
0.440 -3.624 1.076
2.610 0.345 6.825
Te C Y Tm
1 1 1 1
direct
0.499 0.499 0.504
0.001 0.001 0.996
0.271 0.271 0.186
0.729 0.729 0.814
```

Computed properties:
- symmetry = R3m (160)
- uncorrected formation energy (eV/atom) = -0.8779


No. 8
Entry from Alexandria via LeMat-Bulk: crystalline U2TeC2 at its relaxed geometry (GGA-PBE).

Geometry as POSCAR:
```
U2TeC2
1.0
5.887 -0.277 -1.873
-2.402 5.091 -2.560
-0.262 0.361 6.388
C U Te
4 4 2
direct
0.244 0.493 0.487
0.494 0.243 0.987
0.756 0.507 0.513
0.506 0.757 0.013
0.440 0.565 0.252
0.187 0.812 0.752
0.813 0.188 0.248
0.560 0.435 0.748
0.122 0.872 0.250
0.878 0.128 0.750
```

Computed properties:
- symmetry = C2/c (15)
- uncorrected formation energy (eV/atom) = -0.1540